Compound: BeTcHg2
Source: the Alexandria database
Functional: PBE-GGA
Structure: relaxed

Lattice parameters (Å, degrees): 3.079 3.079 6.939 90.00 90.00 90.00
Each line ends with the local moment (μB).
Fractional positions:
Hg 0.000 0.000 0.527  -0.01
Hg 0.000 0.000 0.973  -0.01
Tc 0.500 0.500 0.250  1.50
Be 0.500 0.500 0.750  -0.03

Output
The total energy is -3.012 eV per atom.



Compound: La9TbCd2
Source: the Alexandria database
Functional: PBE-GGA
Structure: relaxed

Lattice parameters (Å, degrees): 5.113 5.113 15.403 90.00 90.00 90.00
Fractional positions:
La 0.500 0.500 0.666
Tb 0.000 0.000 0.000
La 0.500 0.500 0.334
La 0.000 0.500 0.829
La 0.500 0.000 0.171
Cd 0.000 0.000 0.338
La 0.000 0.500 0.171
Cd 0.000 0.000 0.662
La 0.500 0.000 0.829
La 0.500 0.500 0.000
La 0.500 0.000 0.500
La 0.000 0.500 0.500

Output
The total energy is -4.315 eV per atom.



Compound: Na3Tl8Sn3
Source: the Alexandria database
Functional: PBE-GGA
Structure: relaxed

Lattice parameters (Å, degrees): 6.132 8.176 9.385 82.00 107.48 110.82
Fractional positions:
Tl 0.738 0.700 0.081
Tl 0.630 0.918 0.386
Na 0.301 0.682 0.769
Na 0.500 0.500 0.500
Sn 0.951 0.301 0.579
Tl 0.262 0.300 0.919
Tl 0.370 0.082 0.614
Tl 0.221 0.587 0.151
Na 0.699 0.318 0.231
Sn 0.500 0.000 0.000
Sn 0.049 0.699 0.421
Tl 0.901 0.898 0.784
Tl 0.779 0.413 0.849
Tl 0.099 0.102 0.216

Output
The total energy is -2.529 eV per atom.



Compound: KCa2CrRu
Source: the Alexandria database
Functional: PBE-GGA
Structure: relaxed

Lattice parameters (Å, degrees): 5.583 4.540 5.583 90.00 90.00 90.00
Each line ends with the local moment (μB).
Fractional positions:
Ca 0.500 0.000 0.000  0.00
K 0.000 0.000 0.000  0.02
Cr 0.500 0.500 0.500  0.29
Ru 0.000 0.500 0.000  -0.03
Ca 0.000 0.000 0.500  0.00

Output
The total energy is -2.683 eV per atom.



Compound: CaCrCl2
Source: the Alexandria database
Functional: PBE-GGA
Structure: relaxed

Lattice parameters (Å, degrees): 5.827 5.827 5.827 140.96 114.32 79.14
Each line ends with the local moment (μB).
Fractional positions:
Cr 0.750 0.250 0.500  4.42
Ca 0.250 0.750 0.500  0.06
Cl 0.044 0.044 0.000  0.05
Cl 0.456 0.456 0.000  0.05

Output
As for the raw formation energy: -0.74 eV per atom. The excess energy over the best structure of this formula in the dataset comes out at 183 meV per atom.



Compound: Na3Sr2Bi2
Source: the Alexandria database
Functional: PBE-GGA
Structure: relaxed

Lattice parameters (Å, degrees): 5.190 6.276 9.032 106.46 90.00 114.42
Fractional positions:
Na 0.363 0.725 0.566
Na 0.637 0.275 0.434
Na 0.500 0.000 0.000
Sr 0.866 0.732 0.196
Sr 0.134 0.268 0.804
Bi 0.175 0.350 0.206
Bi 0.825 0.650 0.794

Output
The total energy is -2.666 eV per atom.



Calculated values (μB/f.u.) of total moment for the records, taken in order: 1.55, 0.00, 0.00, 0.38, 5.72, 0.75.
Calculated values (states/eV per cell) of density of states at the Fermi level for the records, taken in order: 1.85, 16.37, 5.60, 11.81, 1.05, 2.24.